No. 1
The following is a DFT calculation (GGA-PBE) of a relaxed structure of Y2MnAu2.

abc: 5.6642 5.6642 5.6331
angles: 59.82 59.82 90.00
Fractional positions:
Y 0.2500 0.7500 0.5000
Y 0.7500 0.2500 0.5000
Au 0.6650 0.6650 0.6700
Au 0.3350 0.3350 0.3300
Mn 0.0000 0.0000 0.0000

Calculated values
calculated total energy: -5.972 eV per atom
calculated formation energy: -0.242 eV/atom
symmetry: I4/mmm (139)

No. 2
The following is a DFT calculation (GGA-PBE) of a relaxed structure of Pu3PaGe4.

abc: 4.1020 4.6281 9.1513
angles: 90.00 90.00 90.00
Fractional positions:
Pu 0.5000 0.5000 0.5000
Pu 0.5000 0.0000 0.2432
Pu 0.5000 0.0000 0.7568
Ge 0.0000 0.5000 0.2500
Ge 0.0000 0.0000 0.5000
Ge 0.0000 0.0000 0.0000
Ge 0.0000 0.5000 0.7500
Pa 0.5000 0.5000 0.0000

Calculated values
calculated total energy: -9.247 eV per atom
calculated formation energy: -0.377 eV/atom
ΔE to the lowest computed polymorph: 0 meV/atom
symmetry: Pmmm (47)

No. 3
The following is a DFT calculation (GGA-PBE) of a relaxed structure of AgHPt.

abc: 2.8710 4.6598 2.8709
angles: 90.00 103.22 90.00
Fractional positions:
Pt 0.5801 0.0000 0.3563
Ag 0.9870 0.5000 0.9498
H 0.1812 0.0000 0.7551

Calculated values
calculated total energy: -4.078 eV per atom
ΔE to the lowest computed polymorph: 6 meV/atom
symmetry: Amm2 (38)

No. 4
The following is a DFT calculation (GGA-PBE) of a relaxed structure of BeSb4Te.

abc: 6.2030 6.2030 6.2030
angles: 60.00 60.00 60.00
Fractional positions:
Sb 0.3751 0.3751 0.8747
Sb 0.8747 0.3751 0.3751
Sb 0.3751 0.3751 0.3751
Sb 0.3751 0.8747 0.3751
Be 0.0000 0.0000 0.0000
Te 0.7500 0.7500 0.7500

Calculated values
calculated total energy: -3.169 eV per atom
raw formation energy: 0.724 eV/atom
symmetry: F-43m (216)

No. 5
The following is a DFT calculation (GGA-PBE) of a relaxed structure of La3Sm2Th2.

abc: 3.4895 5.7066 12.5109
angles: 103.25 90.00 90.00
Fractional positions:
Sm 0.5000 0.4255 0.8501
Sm 0.5000 0.5745 0.1499
Th 0.0000 0.8578 0.7146
Th 0.0000 0.1422 0.2854
La 0.0000 0.0000 0.0000
La 0.0000 0.7098 0.4194
La 0.0000 0.2902 0.5806

Calculated values
calculated total energy: -5.407 eV per atom
calculated formation energy: 0.173 eV/atom
ΔE to the lowest computed polymorph: 48 meV/atom
symmetry: P2/m (10)

No. 6
The following is a DFT calculation (GGA-PBE) of a relaxed structure of Pr2HoAgS5.

abc: 4.0114 8.6108 12.1118
angles: 90.00 90.00 103.47
Fractional positions:
S 0.9519 0.9037 0.5808
S 0.3061 0.6122 0.3480
S 0.6420 0.2840 0.4998
S 0.7130 0.4260 0.1624
S 0.0481 0.0963 0.0808
S 0.5018 0.0037 0.2724
S 0.2870 0.5740 0.6624
S 0.3580 0.7160 0.9998
S 0.6939 0.3878 0.8480
S 0.4982 0.9963 0.7724
Pr 0.1103 0.2206 0.6851
Pr 0.8740 0.7480 0.8044
Pr 0.1260 0.2520 0.3044
Pr 0.8897 0.7794 0.1851
Ag 0.5409 0.0818 0.9645
Ag 0.4591 0.9182 0.4645
Ho 0.1959 0.3917 0.0064
Ho 0.8041 0.6083 0.5064

Calculated values
calculated total energy: -5.873 eV per atom
raw formation energy: -1.693 eV/atom
symmetry: Cmc2_1 (36)

> Which value of calculated total energy does entry 2 give?

-9.247 eV per atom